Density functional theory data (PBE) for a geometry-optimized TiZnSn structure.

Lattice parameters (Å, degrees): 5.3928 5.3928 5.9457 109.87 109.87 42.81
Closest atoms and distances in Å follow each position.
Fractional positions:
1 Ti 0.0000 0.0000 0.0000  3 Zn 2.78-2.82, 5 Sn 2.86-3.06, 2 Ti 2.94
2 Ti 0.6858 0.6858 0.3376  4 Sn 2.79-3.11, 5 Zn 2.90-3.03, 2 Ti 2.94
3 Zn 0.0198 0.0198 0.4790  2 Zn 2.72, 3 Ti 2.78-2.90, 4 Sn 2.95-3.01
4 Zn 0.3651 0.3651 0.1826  2 Zn 2.72, 5 Ti 2.82-3.03, 3 Sn 2.84-2.94
5 Sn 0.3499 0.3499 0.6502  4 Ti 2.79-2.86, 5 Zn 2.84-3.11, 1 Sn 3.04
6 Sn 0.6748 0.6748 0.8535  5 Ti 2.84-3.11, 4 Zn 2.94-2.95, 3 Sn 3.04-3.16

The calculation puts the density of states at the Fermi level at 1.68 states/eV/f.u. The formation energy comes out at -0.162 eV/atom.